Material: Sr9In3O2
Method: DFT, PBE-GGA
State: optimized geometry

POSCAR file:
```
Sr9In3O2
1.0
7.522 0.000 0.000
-3.761 6.515 0.000
0.000 0.000 9.224
Sr In O
9 3 2
direct
0.173 0.827 0.676
0.173 0.346 0.676
0.500 0.500 0.000
0.827 0.654 0.324
0.346 0.173 0.324
0.654 0.827 0.676
0.827 0.173 0.324
0.000 0.500 0.000
0.500 0.000 0.000
0.667 0.333 0.663
0.000 0.000 0.000
0.333 0.667 0.337
0.667 0.333 0.165
0.333 0.667 0.835
```

* V: 452 Å³ per cell
* density of states at the Fermi level: 1.01 states/eV/atom
* E_form (uncorrected): -966 meV/atom